#a
DFT (PBE) results for an optimized crystal structure of Ca3La2Tl4.

Cell lengths 10.231, 10.231, 8.470 Å; angles 90.00, 90.00, 138.86 degrees
Positions (direct):
1 Ca 0.000 0.000 0.000
2 Ca 0.014 0.486 0.250
3 Ca 0.486 0.014 0.750
4 Ca 0.500 0.500 0.500
5 Ca 0.514 0.986 0.250
6 Ca 0.986 0.514 0.750
7 La 0.093 0.907 0.411
8 La 0.407 0.593 0.911
9 La 0.593 0.407 0.089
10 La 0.907 0.093 0.589
11 Tl 0.163 0.837 0.034
12 Tl 0.184 0.316 0.250
13 Tl 0.316 0.184 0.750
14 Tl 0.337 0.663 0.534
15 Tl 0.663 0.337 0.466
16 Tl 0.684 0.816 0.250
17 Tl 0.816 0.684 0.750
18 Tl 0.837 0.163 0.966

## Properties
Its density of states at the Fermi level is 6.432 states/eV/f.u.



#b
DFT (PBE) results for an optimized crystal structure of Ca3La2Tl4.

Cell lengths 5.535, 5.535, 10.775 Å; angles 90.07, 90.07, 59.96 degrees
Positions (direct):
1 Ca 0.000 0.000 0.000
2 Ca 0.333 0.333 0.419
3 Ca 0.667 0.667 0.581
4 La 0.333 0.333 0.798
5 La 0.667 0.667 0.202
6 Tl 0.000 0.000 0.343
7 Tl 0.000 0.000 0.657
8 Tl 0.334 0.334 0.107
9 Tl 0.666 0.666 0.893

## Properties
Its density of states at the Fermi level is 7.541 states/eV/f.u.



Which one sits at the top of the stability order? #b does.